# VRe3

Crystalline VRe3 at its relaxed geometry (PBE, Alexandria).

theoretical density	17.2	Mg/m³
E	-0.85004	Ry/atom
spin magnetization	0.00	μB/cell
relative energy among the computed polymorphs	0.133	eV per atom
formation energy from the elements	50.3	meV/atom

Cell and atoms, written as CIF:
```
data_VRe3
_chemical_formula_sum 'V2 Re6'
_cell_length_a 3.8970
_cell_length_b 3.8970
_cell_length_c 7.7654
_cell_angle_alpha 90.00
_cell_angle_beta 90.00
_cell_angle_gamma 90.00
_space_group_name_H-M_alt 'I 4/m m m'
_space_group_IT_number 139
_space_group_name_Hall '-I 4 2'
loop_
_atom_site_label
_atom_site_type_symbol
_atom_site_fract_x
_atom_site_fract_y
_atom_site_fract_z
V1 V 0.0000 0.0000 0.0000
Re1 Re 0.0000 0.0000 0.5000
Re2 Re 0.0000 0.5000 0.2500
```



# ScCd2Rh

Crystalline ScCd2Rh at its relaxed geometry (PBE, Alexandria).

theoretical density	8.1	Mg/m³
E	-0.30271	Ry/atom
spin magnetization	0.00	μB/cell
formation energy from the elements	-240.3	meV/atom

Cell and atoms, written as CIF:
```
data_ScCd2Rh
_chemical_formula_sum 'Sc1 Cd2 Rh1'
_cell_length_a 3.6544
_cell_length_b 3.6544
_cell_length_c 5.7421
_cell_angle_alpha 90.00
_cell_angle_beta 90.00
_cell_angle_gamma 90.00
_space_group_name_H-M_alt 'P 4/m m m'
_space_group_IT_number 123
_space_group_name_Hall '-P 4 2'
loop_
_atom_site_label
_atom_site_type_symbol
_atom_site_fract_x
_atom_site_fract_y
_atom_site_fract_z
Sc1 Sc 0.0000 0.0000 0.0000
Cd1 Cd 0.5000 0.5000 0.2638
Rh1 Rh 0.0000 0.0000 0.5000
```



# Na3InBi2

Crystalline Na3InBi2 at its relaxed geometry (PBE, Alexandria).

theoretical density	4.5	Mg/m³
E	-0.19101	Ry/atom
spin magnetization	0.00	μB/cell
relative energy among the computed polymorphs	0.115	eV per atom
formation energy from the elements	-189.3	meV/atom

Cell and atoms, written as CIF:
```
data_Na3InBi2
_chemical_formula_sum 'Na12 In4 Bi8'
_cell_length_a 7.2236
_cell_length_b 14.4051
_cell_length_c 8.5638
_cell_angle_alpha 90.00
_cell_angle_beta 90.00
_cell_angle_gamma 90.00
_space_group_name_H-M_alt 'I b a m'
_space_group_IT_number 72
_space_group_name_Hall '-I 2 2c'
loop_
_atom_site_label
_atom_site_type_symbol
_atom_site_fract_x
_atom_site_fract_y
_atom_site_fract_z
Na1 Na 0.0000 0.0000 0.2500
Na2 Na 0.0000 0.2733 0.2500
In1 In 0.0000 0.5000 0.0000
Bi1 Bi 0.2231 0.1358 0.0000
```



# NaCuSn2I

Crystalline NaCuSn2I at its relaxed geometry (PBE, Alexandria).

theoretical density	4.7	Mg/m³
raw formation energy	-0.052	eV/atom
E	-0.22386	Ry/atom
spin magnetization	0.00	μB/cell

Cell and atoms, written as CIF:
```
data_NaCuSn2I
_chemical_formula_sum 'Na1 Cu1 Sn2 I1'
_cell_length_a 4.9215
_cell_length_b 4.9215
_cell_length_c 6.6107
_cell_angle_alpha 90.00
_cell_angle_beta 90.00
_cell_angle_gamma 90.00
_space_group_name_H-M_alt 'P 4/m m m'
_space_group_IT_number 123
_space_group_name_Hall '-P 4 2'
loop_
_atom_site_label
_atom_site_type_symbol
_atom_site_fract_x
_atom_site_fract_y
_atom_site_fract_z
Na1 Na 0.0000 0.0000 0.0000
Cu1 Cu 0.0000 0.0000 0.5000
Sn1 Sn 0.0000 0.5000 0.5000
I1 I 0.5000 0.5000 0.0000
```